Record 1
PaGaBi | PBE | optimized geometry

Offset from the most stable computed form: 0 meV per atom
Volume: 153 Å³ per cell
Total energy: -5.6240 eV per atom

Structure (extended XYZ):
```
6
Lattice="-1.060 -3.696 -1.835 4.119 -0.211 -1.954 0.710 -3.796 7.238" Properties=species:S:1:pos:R:3 pbc="T T T"
Pa 0.219 -1.606 0.635
Pa 3.550 -6.098 2.814
Ga 2.211 -4.413 5.139
Ga 1.558 -3.291 -1.690
Bi 3.169 -2.965 1.670
Bi 0.601 -4.739 1.779
```

---

Record 2
RbBeAsSe2 | PBE | optimized geometry

ΔE_f (raw): 1.65 eV per atom
Offset from the most stable computed form: 1708 meV per atom
Volume: 319 Å³ per cell
Total energy: -1.6087 eV per atom

Structure (extended XYZ):
```
5
Lattice="6.700 0.000 0.000 0.000 6.700 0.000 0.000 0.000 7.100" Properties=species:S:1:pos:R:3 pbc="T T T"
Be 3.350 3.350 3.550
As 0.000 0.000 3.550
Se 0.000 3.350 0.000
Se 3.350 0.000 0.000
Rb 0.000 0.000 0.000
```